(1)
Here is crystalline NaIn2Pd5 at its relaxed geometry from Alexandria. Energies are from GGA-PBE.

Cell lengths 5.6863, 5.6863, 5.6862 Å; angles 116.88, 116.88, 95.50 degrees
Closest atoms and distances in Å follow each position.
Fractional positions:
In1 0.7777 0.2778 0.4999  10 Pd 2.84-2.98, 2 Na 2.98
Na1 0.7783 0.7783 0.0000  8 Pd 2.84, 4 In 2.98
In2 0.2778 0.7779 0.5001  10 Pd 2.84-2.98, 2 Na 2.98
Pd1 0.2780 0.7776 0.0000  2 Na 2.84, 6 Pd 2.84-2.98, 4 In 2.84
Pd2 0.2780 0.2780 0.5003  2 Na 2.84, 4 In 2.84, 6 Pd 2.84-2.98
Pd3 0.7777 0.7777 0.4997  2 Na 2.84, 4 In 2.84, 6 Pd 2.84-2.98
Pd4 0.2777 0.2776 0.0000  8 Pd 2.84, 4 In 2.98
Pd5 0.7778 0.2780 0.0000  2 Na 2.84, 6 Pd 2.84-2.98, 4 In 2.84

Results
Crystal system   tetragonal
D(E_F)   0.228 states/eV/atom
E_form   -0.400 eV/atom
Symmetry   I4/mmm
Calculated volume   135 Å³ per cell

(2)
Here is crystalline NaIn2Pd4 at its relaxed geometry from Alexandria. Energies are from GGA-PBE.

Cell lengths 4.9440, 4.9441, 6.5713 Å; angles 112.15, 112.10, 90.00 degrees
Closest atoms and distances in Å follow each position.
Fractional positions:
Pd1 0.2500 0.7500 0.5000  4 In 2.76, 2 Pd 2.78
Pd2 0.5000 0.0000 0.0000  2 Na 2.47
In1 0.3603 0.3603 0.7206  8 Pd 2.76-2.92
Na1 0.0000 0.0000 0.0000  4 Pd 2.47
Pd3 0.7500 0.2500 0.5000  4 In 2.76, 2 Pd 2.78
Pd4 0.0000 0.5000 0.0000  2 Na 2.47
In2 0.6397 0.6397 0.2794  8 Pd 2.76-2.92

Results
Crystal system   tetragonal
D(E_F)   0.362 states/eV/atom
E_form   -0.160 eV/atom
Symmetry   I4/mmm
Calculated volume   136 Å³ per cell

(3)
Here is crystalline NaIn4Pd2 at its relaxed geometry from Alexandria. Energies are from GGA-PBE.

Cell lengths 4.5599, 7.3833, 18.4596 Å; angles 90.00, 90.00, 90.00 degrees
Closest atoms and distances in Å follow each position.
Fractional positions:
Pd1 0.7500 0.2454 0.9601  7 In 2.76-2.91
Na1 0.7500 0.9585 0.6440  10 In 3.22-3.58, 4 Pd 3.37-3.45
In1 0.7500 0.3296 0.3130  4 Pd 2.76-2.83
In2 0.2500 0.8296 0.1870  4 Pd 2.76-2.83
In3 0.7500 0.8689 0.4658  3 Pd 2.81-2.85, 1 In 2.98
Pd2 0.2500 0.9555 0.7839  7 In 2.75-2.83
Pd3 0.2500 0.5445 0.2839  7 In 2.75-2.83
In4 0.2500 0.6704 0.6870  4 Pd 2.76-2.83
In5 0.7500 0.5122 0.5687  4 Pd 2.75-2.91
In6 0.2500 0.2523 0.1890  3 Pd 2.78-2.79, 1 In 2.98
Pd4 0.2500 0.7546 0.0399  7 In 2.76-2.91
In7 0.7500 0.7477 0.8110  3 Pd 2.78-2.79, 1 In 2.98
Pd5 0.7500 0.0445 0.2161  7 In 2.75-2.83
Pd6 0.7500 0.2546 0.4601  7 In 2.76-2.91
In8 0.2500 0.2477 0.6890  3 Pd 2.78-2.79, 1 In 2.98
Pd7 0.2500 0.7454 0.5399  7 In 2.76-2.91
In9 0.7500 0.1704 0.8130  4 Pd 2.76-2.83
Na2 0.2500 0.4585 0.8560  10 In 3.22-3.58, 4 Pd 3.37-3.45
In10 0.2500 0.0122 0.9313  4 Pd 2.75-2.91
Na3 0.7500 0.5415 0.1440  10 In 3.22-3.58, 4 Pd 3.37-3.45
Na4 0.2500 0.0415 0.3560  10 In 3.22-3.58, 4 Pd 3.37-3.45
Pd8 0.7500 0.4555 0.7161  7 In 2.75-2.83
In11 0.2500 0.4878 0.4313  4 Pd 2.75-2.91
In12 0.7500 0.9878 0.0687  4 Pd 2.75-2.91
In13 0.7500 0.6311 0.9658  3 Pd 2.81-2.85, 1 In 2.98
In14 0.2500 0.1311 0.5342  3 Pd 2.81-2.85, 1 In 2.98
In15 0.7500 0.7523 0.3110  3 Pd 2.78-2.79, 1 In 2.98
In16 0.2500 0.3689 0.0342  3 Pd 2.81-2.85, 1 In 2.98

Results
Crystal system   orthorhombic
D(E_F)   0.415 states/eV/atom
E_form   -0.344 eV/atom
Symmetry   Pnma
Calculated volume   621 Å³ per cell

(4)
Here is crystalline NaIn2Pd2 at its relaxed geometry from Alexandria. Energies are from GGA-PBE.

Cell lengths 8.0529, 8.0529, 3.0590 Å; angles 90.00, 90.00, 90.00 degrees
Closest atoms and distances in Å follow each position.
Fractional positions:
Na1 0.5000 0.5000 0.0000  2 Na 3.06, 4 In 3.11, 8 Pd 3.40
Pd1 0.8439 0.3439 0.5000  6 In 2.77-2.84, 2 Pd 3.06
In1 0.3591 0.8591 0.0000  6 Pd 2.77-2.84, 2 In 3.06
In2 0.1409 0.3591 0.0000  6 Pd 2.77-2.84, 2 In 3.06
Pd2 0.3439 0.1561 0.5000  6 In 2.77-2.84, 2 Pd 3.06
Na2 0.0000 0.0000 0.0000  2 Na 3.06, 4 In 3.11, 8 Pd 3.40
Pd3 0.6561 0.8439 0.5000  6 In 2.77-2.84, 2 Pd 3.06
In3 0.6409 0.1409 0.0000  6 Pd 2.77-2.84, 2 In 3.06
Pd4 0.1561 0.6561 0.5000  6 In 2.77-2.84, 2 Pd 3.06
In4 0.8591 0.6409 0.0000  6 Pd 2.77-2.84, 2 In 3.06

Results
Crystal system   tetragonal
D(E_F)   0.413 states/eV/atom
E_form   -0.428 eV/atom
Symmetry   P4/mbm
Calculated volume   198 Å³ per cell